## Sc2BeSe (PBE)

Data for a relaxed Sc2BeSe crystal.

abc: 3.265 3.265 6.951
angles: 90.00 90.00 90.22
Fractional positions:
Sc (0.000, 0.000, 0.957)
Sc (0.500, 0.500, 0.285)
Be (0.500, 0.500, 0.702)
Se (0.000, 0.000, 0.556)

**ΔE to the lowest computed polymorph**: 40.6 kJ per mole of atoms
**Energy relative to the elements, uncorrected**: -0.29 eV per atom